[1]
Material: YSnBAs2
Method: DFT, PBE
State: optimized geometry

POSCAR file:
```
YSnBAs2
1.0
4.5445 0.0000 0.0000
0.0000 4.5445 0.0000
0.0000 0.0000 4.9911
Y Sn B As
1 1 1 2
Direct
0.0000 0.0000 0.0000
0.5000 0.5000 0.0000
0.0000 0.0000 0.5000
0.0000 0.5000 0.5000
0.5000 0.0000 0.5000
```

## Properties
ΔE_f, eV/atom: 0.14
Symmetry: P4/mmm, No. 123

=====

[2]
Material: YSn2BAs
Method: DFT, PBE
State: optimized geometry

POSCAR file:
```
YSn2BAs
1.0
5.7128 0.0000 0.0000
0.0000 5.7128 0.0000
0.0000 0.0000 3.8911
Y Sn B As
1 2 1 1
Direct
0.0000 0.0000 0.0000
0.0000 0.5000 0.5000
0.5000 0.0000 0.5000
0.5000 0.5000 0.0000
0.5000 0.5000 0.5000
```

## Properties
ΔE_f, eV/atom: 0.51
Symmetry: P4/mmm, No. 123

=====

[3]
Material: SrB2As
Method: DFT, PBE
State: optimized geometry

POSCAR file:
```
SrB2As
1.0
-2.0918 2.0918 7.8348
2.0918 -2.0918 7.8348
2.0918 2.0918 -7.8348
Sr B As
2 4 2
Direct
0.3750 0.6250 0.7500
0.6250 0.3750 0.2500
0.0000 0.0000 0.0000
0.0000 0.0000 0.5000
0.0000 0.5000 0.0000
0.5000 0.0000 0.5000
0.1250 0.8750 0.2500
0.8750 0.1250 0.7500
```

## Properties
ΔE_f, eV/atom: 0.43
Symmetry: I4_1/amd, No. 141

=====

[4]
Material: Sr3BAs
Method: DFT, PBE
State: optimized geometry

POSCAR file:
```
Sr3BAs
1.0
5.3840 0.0000 0.0000
0.0000 5.3840 0.0000
0.0000 0.0000 5.3840
Sr B As
3 1 1
Direct
0.0000 0.0000 0.5000
0.0000 0.5000 0.0000
0.5000 0.0000 0.0000
0.0000 0.0000 0.0000
0.5000 0.5000 0.5000
```

## Properties
ΔE_f, eV/atom: -0.03
Energy above the lowest structure with this stoichiometry, meV per atom: 0.0
Symmetry: Pm-3m, No. 221

=====

[5]
Material: Ta5B2As
Method: DFT, PBE
State: optimized geometry

POSCAR file:
```
Ta5B2As
1.0
-3.1349 3.1349 5.8214
3.1349 -3.1349 5.8214
3.1349 3.1349 -5.8214
Ta B As
10 4 2
Direct
0.0000 0.0000 0.0000
0.0265 0.5265 0.8293
0.1972 0.0265 0.5000
0.3028 0.8028 0.8293
0.4735 0.3028 0.5000
0.5000 0.5000 0.0000
0.5265 0.6972 0.5000
0.6972 0.1972 0.1707
0.8028 0.9735 0.5000
0.9735 0.4735 0.1707
0.1204 0.3796 0.5000
0.3796 0.8796 0.2591
0.6204 0.1204 0.7409
0.8796 0.6204 0.5000
0.2500 0.2500 0.0000
0.7500 0.7500 0.0000
```

## Properties
ΔE_f, eV/atom: -0.62
Symmetry: I4/mcm, No. 140

=====

[6]
Material: Ta3BAs
Method: DFT, PBE
State: optimized geometry

POSCAR file:
```
Ta3BAs
1.0
4.3472 0.0000 0.0000
0.0000 4.3472 0.0000
0.0000 0.0000 4.3472
Ta B As
3 1 1
Direct
0.0000 0.0000 0.5000
0.0000 0.5000 0.0000
0.5000 0.0000 0.0000
0.0000 0.0000 0.0000
0.5000 0.5000 0.5000
```

## Properties
ΔE_f, eV/atom: 0.22
Energy above the lowest structure with this stoichiometry, meV per atom: 0.0
Symmetry: Pm-3m, No. 221

=====

[7]
Material: TaBAs
Method: DFT, PBE
State: optimized geometry

POSCAR file:
```
TaBAs
1.0
4.5293 -1.7583 0.0000
4.5293 1.7583 0.0000
-2.7156 0.0000 6.5789
Ta B As
2 2 2
Direct
0.0994 0.0994 0.3372
0.9006 0.9006 0.6628
0.4494 0.4494 0.8786
0.5506 0.5506 0.1214
0.2031 0.2031 0.7279
0.7969 0.7969 0.2721
```

## Properties
ΔE_f, eV/atom: 0.20
Symmetry: C2/m, No. 12

=====

[8]
Material: TaB3As
Method: DFT, PBE
State: optimized geometry

POSCAR file:
```
TaB3As
1.0
3.9979 0.0000 0.0000
0.0000 3.9979 0.0000
0.0000 0.0000 3.9979
Ta B As
1 3 1
Direct
0.0000 0.0000 0.0000
0.0000 0.5000 0.5000
0.5000 0.0000 0.5000
0.5000 0.5000 0.0000
0.5000 0.5000 0.5000
```

## Properties
ΔE_f, eV/atom: 1.83
Energy above the lowest structure with this stoichiometry, meV per atom: 156.7
Symmetry: Pm-3m, No. 221